Entry A
The following is a DFT calculation (GGA-PBE) of a relaxed In6GaHg2 crystal.

Cell: 6.7341 6.7341 18.9405 Å, 90.00 90.00 120.00°
Space group R3 (No. 146, hexagonal axes)
Inequivalent atoms, fractional coordinates:
1 In 0.0227 0.4639 0.0000
2 In 0.0397 0.6053 0.1909
3 Ga 0.0000 0.0000 0.7693
4 Hg 0.0000 0.0000 0.1321
5 Hg 0.0000 0.0000 0.9746

## Properties
Crystal system: trigonal


Entry B
The following is a DFT calculation (GGA-PBE) of a relaxed In6GaHg2 crystal.

Cell: 15.551 9.301 6.769 Å, 90.00 104.57 90.00°
Space group C2/c (No. 15)
Inequivalent atoms, fractional coordinates:
1 In 0.077 0.091 0.134
2 In 0.086 0.431 0.159
3 In 0.161 0.242 0.584
4 Ga 0.000 0.269 0.750
5 Hg 0.246 0.074 0.996

## Properties
Crystal system: monoclinic


The structure with the most favorable energy is entry B; the runner-up is 2.1 kJ/mol of atoms above it.


Entry A
The following is a DFT calculation (GGA-PBE) of a relaxed In3GaHg3 crystal.

Cell: 8.067 8.067 8.067 Å, 90.00 90.00 90.00°
Space group Pm-3n (No. 223)
Inequivalent atoms, fractional coordinates:
1 In 0.000 0.250 0.500
2 Ga 0.000 0.000 0.000
3 Hg 0.000 0.500 0.250

## Properties
Crystal system: cubic


Entry B
The following is a DFT calculation (GGA-PBE) of a relaxed In3GaHg3 crystal.

Cell: 9.7247 9.7247 6.7838 Å, 90.00 90.00 120.00°
Space group R3m (No. 160, hexagonal axes)
Inequivalent atoms, fractional coordinates:
1 In 0.2094 0.4188 0.0000
2 Ga 0.0000 0.0000 0.6633
3 Hg 0.1916 0.3832 0.5485

## Properties
Crystal system: trigonal


The structure with the most favorable energy is entry B; the runner-up is 29.7 kJ/mol of atoms above it.


Entry A
The following is a DFT calculation (GGA-PBE) of a relaxed LiInGaHg2 crystal.

Cell: 5.236 5.236 5.471 Å, 90.00 90.00 90.00°
Space group P4/mmm (No. 123)
Inequivalent atoms, fractional coordinates:
1 Li 0.000 0.000 0.000
2 In 0.500 0.500 0.000
3 Ga 0.500 0.500 0.500
4 Hg 0.000 0.500 0.500

## Properties
Crystal system: tetragonal


Entry B
The following is a DFT calculation (GGA-PBE) of a relaxed LiInGaHg2 crystal.

Cell: 5.957 4.704 8.211 Å, 90.00 107.67 90.00°
Space group P2_1/m (No. 11)
Inequivalent atoms, fractional coordinates:
1 Li 0.220 0.250 0.285
2 In 0.356 0.750 0.881
3 Ga 0.119 0.750 0.489
4 Hg 0.012 0.250 0.885
5 Hg 0.460 0.250 0.648

## Properties
Crystal system: monoclinic


The structure with the most favorable energy is entry B; the runner-up is 27.0 kJ/mol of atoms above it.


Entry A
The following is a DFT calculation (GGA-PBE) of a relaxed InGa2NiHg crystal.

Cell: 4.656 4.656 5.042 Å, 90.00 90.00 90.00°
Space group P4/mmm (No. 123)
Inequivalent atoms, fractional coordinates:
1 In 0.000 0.000 0.000
2 Ga 0.000 0.500 0.500
3 Ni 0.000 0.000 0.500
4 Hg 0.500 0.500 0.000

## Properties
Crystal system: tetragonal


Entry B
The following is a DFT calculation (GGA-PBE) of a relaxed InGa2NiHg crystal.

Cell: 4.627 4.627 5.125 Å, 90.00 90.00 90.00°
Space group P4/mmm (No. 123)
Inequivalent atoms, fractional coordinates:
1 In 0.000 0.000 0.000
2 Ga 0.000 0.500 0.500
3 Ni 0.500 0.500 0.500
4 Hg 0.500 0.500 0.000

## Properties
Crystal system: tetragonal


The structure with the most favorable energy is entry A; the runner-up is 7.4 kJ/mol of atoms above it.


Entry A
The following is a DFT calculation (GGA-PBE) of a relaxed In2GaHgRu crystal.

Cell: 5.134 5.134 5.322 Å, 90.00 90.00 90.00°
Space group P4/mmm (No. 123)
Inequivalent atoms, fractional coordinates:
1 In 0.000 0.500 0.000
2 Ga 0.000 0.000 0.500
3 Hg 0.500 0.500 0.500
4 Ru 0.500 0.500 0.000

## Properties
Crystal system: tetragonal


Entry B
The following is a DFT calculation (GGA-PBE) of a relaxed In2GaHgRu crystal.

Cell: 5.204 5.204 4.815 Å, 90.00 90.00 90.00°
Space group P4/mmm (No. 123)
Inequivalent atoms, fractional coordinates:
1 In 0.000 0.500 0.000
2 Ga 0.000 0.000 0.500
3 Hg 0.500 0.500 0.500
4 Ru 0.000 0.000 0.000

## Properties
Crystal system: tetragonal


The structure with the most favorable energy is entry B; the runner-up is 29.1 kJ/mol of atoms above it.


Entry A
The following is a DFT calculation (GGA-PBE) of a relaxed InGaSnHg crystal.

Cell: 7.371 7.371 7.371 Å, 90.00 90.00 90.00°
Space group F-43m (No. 216)
Inequivalent atoms, fractional coordinates:
1 In 0.000 0.000 0.000
2 Ga 0.250 0.250 0.250
3 Sn 0.000 0.000 0.500
4 Hg 0.250 0.250 0.750

## Properties
Crystal system: cubic


Entry B
The following is a DFT calculation (GGA-PBE) of a relaxed InGaSnHg crystal.

Cell: 3.358 3.358 8.768 Å, 90.00 90.00 90.00°
Space group P4mm (No. 99)
Inequivalent atoms, fractional coordinates:
1 In 0.000 0.000 0.000
2 Ga 0.500 0.500 0.235
3 Sn 0.000 0.000 0.467
4 Hg 0.500 0.500 0.739

## Properties
Crystal system: tetragonal


The structure with the most favorable energy is entry B; the runner-up is 0.8 kJ/mol of atoms above it.


Entry A
The following is a DFT calculation (GGA-PBE) of a relaxed TbInGaHg crystal.

Cell: 7.233 7.233 7.233 Å, 90.00 90.00 90.00°
Space group F-43m (No. 216)
Inequivalent atoms, fractional coordinates:
1 Tb 0.000 0.000 0.000
2 In 0.000 0.000 0.500
3 Ga 0.250 0.250 0.250
4 Hg 0.250 0.250 0.750

## Properties
Crystal system: cubic


Entry B
The following is a DFT calculation (GGA-PBE) of a relaxed TbInGaHg crystal.

Cell: 4.426 4.463 4.643 Å, 90.00 90.00 90.00°
Space group Pmmm (No. 47)
Inequivalent atoms, fractional coordinates:
1 Tb 0.000 0.000 0.000
2 In 0.000 0.500 0.500
3 Ga 0.500 0.500 0.000
4 Hg 0.500 0.000 0.500

## Properties
Crystal system: orthorhombic


The structure with the most favorable energy is entry B; the runner-up is 13.1 kJ/mol of atoms above it.


Entry A
The following is a DFT calculation (GGA-PBE) of a relaxed InGaHgTe crystal.

Cell: 7.713 7.713 7.713 Å, 90.00 90.00 90.00°
Space group F-43m (No. 216)
Inequivalent atoms, fractional coordinates:
1 In 0.000 0.000 0.000
2 Ga 0.000 0.000 0.500
3 Hg 0.250 0.250 0.250
4 Te 0.250 0.250 0.750

## Properties
Crystal system: cubic


Entry B
The following is a DFT calculation (GGA-PBE) of a relaxed InGaHgTe crystal.

Cell: 7.237 4.329 8.870 Å, 90.00 105.96 90.00°
Space group Cm (No. 8)
Inequivalent atoms, fractional coordinates:
1 In 0.000 0.000 0.000
2 Ga 0.099 0.000 0.323
3 Hg 0.098 0.500 0.824
4 Te 0.488 0.000 0.476

## Properties
Crystal system: monoclinic


The structure with the most favorable energy is entry B; the runner-up is 3.6 kJ/mol of atoms above it.